Record 1
DFT (PBE) results for CoIr2Se after structural relaxation.

The space group is Imm2 (No. 44) and the conventional cell measures 2.891, 4.429 and 8.966 Å, with angles of 90.00, 90.00 and 90.00 degrees. The inequivalent atoms are Co at (0.000, 0.000, 0.000), Ir at (0.000, 0.000, 0.542), Ir at (0.000, 0.500, 0.768) and Se at (0.000, 0.500, 0.274).

Record 2
DFT (PBE) results for Li2HoEr2In5 after structural relaxation.

The space group is P4/mbm (No. 127) and the conventional cell measures 10.275, 10.275 and 4.392 Å, with angles of 90.00, 90.00 and 90.00 degrees. The inequivalent atoms are Li at (0.120, 0.380, 0.000), Ho at (0.000, 0.000, 0.000), Er at (0.174, 0.674, 0.000), In at (0.000, 0.500, 0.500) and In at (0.075, 0.211, 0.500).

The formation energy is -352 meV per atom.

Record 3
DFT (PBE) results for CeSm4Bi5 after structural relaxation.

The space group is Immm (No. 71) and the conventional cell measures 4.567, 6.452 and 22.831 Å, with angles of 90.00, 90.00 and 90.00 degrees. The inequivalent atoms are Ce at (0.000, 0.000, 0.000), Sm at (0.000, 0.000, 0.201), Sm at (0.000, 0.000, 0.399), Bi at (0.000, 0.500, 0.000), Bi at (0.000, 0.500, 0.200) and Bi at (0.000, 0.500, 0.400).

The formation energy is -902 meV per atom.

Record 4
DFT (PBE) results for NdAl4Cu2 after structural relaxation.

The space group is Pnma (No. 62) and the conventional cell measures 17.014, 4.115 and 7.024 Å, with angles of 90.00, 90.00 and 90.00 degrees. The inequivalent atoms are Nd at (0.117, 0.250, 0.008), Al at (0.037, 0.750, 0.729), Al at (0.095, 0.250, 0.503), Al at (0.190, 0.750, 0.328), Al at (0.198, 0.750, 0.710), Cu at (0.040, 0.750, 0.319) and Cu at (0.238, 0.250, 0.524).

The formation energy is -390 meV per atom.

Record 5
DFT (PBE) results for Ca3GaPt8 after structural relaxation.

The space group is R3m (No. 160, hexagonal axes) and the conventional cell measures 5.4499, 5.4499 and 26.3614 Å, with angles of 90.00, 90.00 and 120.00 degrees. The inequivalent atoms are Ca at (0.0000, 0.0000, 0.0000), Ca at (0.0000, 0.0000, 0.1290), Ca at (0.0000, 0.0000, 0.5141), Ga at (0.0000, 0.0000, 0.6444), Pt at (0.0000, 0.0000, 0.3153), Pt at (0.0000, 0.0000, 0.8162), Pt at (0.9998, 0.4999, 0.0657) and Pt at (0.0002, 0.5001, 0.5664).

The formation energy is -797 meV per atom.

Record 6
DFT (PBE) results for AcNi2Pb after structural relaxation.

The space group is R-3m (No. 166, hexagonal axes) and the conventional cell measures 4.5335, 4.5335 and 15.2353 Å, with angles of 90.00, 90.00 and 120.00 degrees. The inequivalent atoms are Ac at (0.0000, 0.0000, 0.0000), Ni at (0.0000, 0.0000, 0.1971) and Pb at (0.0000, 0.0000, 0.5000).

The formation energy is -208 meV per atom.

Number 1: uncorrected energy -0.244 hartree per atom, spin magnetization 2.19 μB per formula unit, Fermi-level density of states 9.90 states/eV per cell. Number 2: uncorrected energy -0.128 hartree per atom, spin magnetization 0.00 μB per formula unit, Fermi-level density of states 11.31 states/eV per cell. Number 3: uncorrected energy -0.196 hartree per atom, spin magnetization 0.73 μB per formula unit, Fermi-level density of states 15.43 states/eV per cell. Number 4: uncorrected energy -0.161 hartree per atom, spin magnetization 0.00 μB per formula unit, Fermi-level density of states 9.20 states/eV per cell. Number 5: uncorrected energy -0.205 hartree per atom, spin magnetization 0.00 μB per formula unit, Fermi-level density of states 17.93 states/eV per cell. Number 6: uncorrected energy -0.186 hartree per atom, spin magnetization 0.00 μB per formula unit, Fermi-level density of states 12.06 states/eV per cell.